First-principles (GGA-PBE) data for an optimized crystal structure of HfSnSe4, as listed in Alexandria via LeMat-Bulk.

Calculated values
Its space group is P2/m. For the formation energy from raw total energies, the calculation gives -4.80 eV/f.u. The calculation puts the raw total energy at -5.4485 eV/atom. The calculation puts the density of states at the Fermi level at 1.53 states/eV/cell.

Lattice parameters (Å, degrees): 3.769 6.897 6.759 89.09 90.00 90.00
Element x y z (fractional)
Hf: 0.000 0.000 0.000
Se: 0.000 0.770 0.676
Se: 0.500 0.231 0.839
Se: 0.500 0.769 0.161
Se: 0.000 0.230 0.324
Sn: 0.500 0.000 0.500